The following is a DFT calculation (PBEsol) of crystalline LaSi2As at its relaxed geometry.

Lattice parameters (Å, degrees): 4.9291 4.9291 5.0833 107.77 107.77 44.69
Sites, in units of the cell vectors:
La 0.0000 0.0000 0.0000
Si 0.4821 0.4821 0.4885
Si 0.7764 0.7764 0.3514
As 0.2181 0.2181 0.6389

Summary:
* magnetic moment: 0.00 μB/cell
* raw formation energy: -0.473 eV/atom

The following is a DFT calculation (PBEsol) of crystalline LaSn3As at its relaxed geometry.

Lattice parameters (Å, degrees): 5.8427 5.8427 5.8427 90.00 90.00 90.00
Sites, in units of the cell vectors:
La 0.0000 0.0000 0.0000
Sn 0.0000 0.0000 0.5000
Sn 0.0000 0.5000 0.0000
Sn 0.5000 0.0000 0.0000
As 0.5000 0.5000 0.5000

Summary:
* magnetic moment: 0.00 μB/cell
* formation energy from the elements: 5.5 eV per formula unit

The following is a DFT calculation (PBEsol) of crystalline Sr2LaAs at its relaxed geometry.

Lattice parameters (Å, degrees): 6.3869 6.3869 6.3869 136.06 136.06 63.88
Sites, in units of the cell vectors:
Sr 0.0000 0.0000 0.0000
Sr 0.7500 0.2500 0.5000
La 0.2500 0.7500 0.5000
As 0.5000 0.5000 0.0000

Summary:
* magnetic moment: 0.00 μB/cell
* formation energy from the elements: -1.1 eV per formula unit

The following is a DFT calculation (PBEsol) of crystalline Sr2LaAs at its relaxed geometry.

Lattice parameters (Å, degrees): 5.5959 5.5959 5.5959 60.00 60.00 60.00
Sites, in units of the cell vectors:
Sr 0.0000 0.0000 0.0000
Sr 0.2500 0.2500 0.2500
La 0.5000 0.5000 0.5000
As 0.7500 0.7500 0.7500

Summary:
* magnetic moment: 0.00 μB/cell
* formation energy from the elements: -0.4 eV per formula unit

The following is a DFT calculation (PBEsol) of crystalline SrLaAs2 at its relaxed geometry.

Lattice parameters (Å, degrees): 3.6652 3.6652 7.9260 90.00 90.00 99.06
Sites, in units of the cell vectors:
Sr 0.0000 0.0000 0.0000
La 0.0000 0.0000 0.5000
As 0.5000 0.5000 0.2605
As 0.5000 0.5000 0.7395

Summary:
* distance to the lowest polymorph of the same formula: 0.082 eV per atom
* magnetic moment: 0.00 μB/cell
* formation energy from the elements: -4.2 eV per formula unit

The following is a DFT calculation (PBEsol) of crystalline SrLaAs2 at its relaxed geometry.

Lattice parameters (Å, degrees): 4.3546 4.3546 6.1612 90.00 90.00 90.00
Sites, in units of the cell vectors:
Sr 0.0000 0.0000 0.0000
La 0.5000 0.5000 0.5000
As 0.0000 0.0000 0.5000
As 0.5000 0.5000 0.0000

Summary:
* distance to the lowest polymorph of the same formula: 0.000 eV per atom
* magnetic moment: 0.00 μB/cell
* formation energy from the elements: -4.6 eV per formula unit

The following is a DFT calculation (PBEsol) of crystalline LaTa4As at its relaxed geometry.

Lattice parameters (Å, degrees): 5.5988 5.5988 5.5988 60.00 60.00 60.00
Sites, in units of the cell vectors:
La 0.0000 0.0000 0.0000
Ta 0.3728 0.3728 0.3728
Ta 0.3728 0.3728 0.8816
Ta 0.3728 0.8816 0.3728
Ta 0.8816 0.3728 0.3728
As 0.7500 0.7500 0.7500

Summary:
* magnetic moment: 0.00 μB/cell
* formation energy from the elements: 3.0 eV per formula unit

The following is a DFT calculation (PBEsol) of crystalline La2TaAs at its relaxed geometry.

Lattice parameters (Å, degrees): 5.0462 5.0462 5.0462 60.00 60.00 60.00
Sites, in units of the cell vectors:
La 0.0000 0.0000 0.0000
La 0.2500 0.2500 0.2500
Ta 0.5000 0.5000 0.5000
As 0.7500 0.7500 0.7500

Summary:
* magnetic moment: 0.90 μB/cell
* formation energy from the elements: 0.5 eV per formula unit

The following is a DFT calculation (PBEsol) of crystalline LaTa2As at its relaxed geometry.

Lattice parameters (Å, degrees): 4.2548 6.2528 6.2528 32.42 90.00 90.00
Sites, in units of the cell vectors:
La 0.0000 0.0000 0.0000
Ta 0.0000 0.7393 0.7393
Ta 0.5000 0.2673 0.2673
As 0.5000 0.6017 0.6017

Summary:
* magnetic moment: 0.00 μB/cell
* formation energy from the elements: -0.8 eV per formula unit

The following is a DFT calculation (PBEsol) of crystalline LaTaAs at its relaxed geometry.

Lattice parameters (Å, degrees): 4.9016 4.9016 4.9016 60.00 60.00 60.00
Sites, in units of the cell vectors:
La 0.0000 0.0000 0.0000
Ta 0.2500 0.2500 0.2500
As 0.7500 0.7500 0.7500

Summary:
* magnetic moment: 3.23 μB/cell
* formation energy from the elements: 3.3 eV per formula unit

The following is a DFT calculation (PBEsol) of crystalline La3TaAs at its relaxed geometry.

Lattice parameters (Å, degrees): 5.5818 5.5818 5.5818 90.00 90.00 90.00
Sites, in units of the cell vectors:
La 0.0000 0.0000 0.5000
La 0.0000 0.5000 0.0000
La 0.5000 0.0000 0.0000
Ta 0.5000 0.5000 0.5000
As 0.0000 0.0000 0.0000

Summary:
* magnetic moment: 2.77 μB/cell
* formation energy from the elements: 2.2 eV per formula unit

The following is a DFT calculation (PBEsol) of crystalline LaTa3As at its relaxed geometry.

Lattice parameters (Å, degrees): 4.8659 4.8659 4.8659 90.00 90.00 90.00
Sites, in units of the cell vectors:
La 0.0000 0.0000 0.0000
Ta 0.0000 0.0000 0.5000
Ta 0.0000 0.5000 0.0000
Ta 0.5000 0.0000 0.0000
As 0.5000 0.5000 0.5000

Summary:
* magnetic moment: 0.00 μB/cell
* formation energy from the elements: 11.6 eV per formula unit

The following is a DFT calculation (PBEsol) of crystalline LaTa2As2 at its relaxed geometry.

Lattice parameters (Å, degrees): 7.1815 7.1815 7.1815 148.09 148.09 45.76
Sites, in units of the cell vectors:
La 0.0000 0.0000 0.0000
Ta 0.2500 0.7500 0.5000
Ta 0.7500 0.2500 0.5000
As 0.3836 0.3836 0.0000
As 0.6164 0.6164 0.0000

Summary:
* magnetic moment: 0.00 μB/cell
* formation energy from the elements: -3.7 eV per formula unit

The following is a DFT calculation (PBEsol) of crystalline LaTa2AsW at its relaxed geometry.

Lattice parameters (Å, degrees): 4.8296 4.8296 4.7110 90.00 90.00 90.00
Sites, in units of the cell vectors:
La 0.0000 0.0000 0.0000
Ta 0.0000 0.5000 0.5000
Ta 0.5000 0.0000 0.5000
As 0.5000 0.5000 0.5000
W 0.5000 0.5000 0.0000

Summary:
* magnetic moment: 0.00 μB/cell
* formation energy from the elements: 4.1 eV per formula unit

The following is a DFT calculation (PBEsol) of crystalline LaTc2As at its relaxed geometry.

Lattice parameters (Å, degrees): 8.7823 8.7823 8.7823 20.29 20.29 20.29
Sites, in units of the cell vectors:
La 0.0000 0.0000 0.0000
Tc 0.2335 0.2335 0.2335
Tc 0.7665 0.7665 0.7665
As 0.5000 0.5000 0.5000

Summary:
* magnetic moment: 0.00 μB/cell
* formation energy from the elements: 1.5 eV per formula unit